Record 1
Below is CeYTl2Se4 after structural relaxation, with properties calculated at the GGA-PBE level.

Cell lengths 7.400, 4.272, 8.131 Å; angles 90.00, 107.58, 90.00 degrees
Space group P2/m (No. 10)
Inequivalent atoms, fractional coordinates:
Ce (0.000, 0.000, 0.000) (multiplicity 1)
Y (0.500, 0.500, 0.000) (multiplicity 1)
Tl (0.000, 0.500, 0.500) (multiplicity 1)
Tl (0.500, 0.000, 0.500) (multiplicity 1)
Se (0.243, 0.500, 0.208) (multiplicity 2)
Se (0.272, 0.000, 0.795) (multiplicity 2)

Computed properties:
energy	-41.89	eV per cell
total magnetic moment	1.004	μB per formula unit


Record 2
Below is Ti2Re2Pb after structural relaxation, with properties calculated at the GGA-PBE level.

Cell lengths 7.635, 7.635, 3.096 Å; angles 90.00, 90.00, 90.00 degrees
Space group P4/mbm (No. 127)
Inequivalent atoms, fractional coordinates:
Ti (0.184, 0.316, 0.000) (multiplicity 4)
Re (0.109, 0.609, 0.500) (multiplicity 4)
Pb (0.000, 0.000, 0.500) (multiplicity 2)

Computed properties:
energy	-86.71	eV per cell
total magnetic moment	0.000	μB per formula unit
excess energy over the best structure of this formula in the dataset	0.000	eV/atom
ΔH_f (0 K)	0.2082	eV per atom


Record 3
Below is P2Pb2O7 after structural relaxation, with properties calculated at the GGA-PBE level.

Cell lengths 7.179, 10.094, 4.815 Å; angles 90.00, 99.89, 90.00 degrees
Space group C2/m (No. 12)
Inequivalent atoms, fractional coordinates:
P (0.211, 0.000, 0.429) (multiplicity 4)
Pb (0.000, 0.312, 0.000) (multiplicity 4)
O (0.000, 0.000, 0.500) (multiplicity 2)
O (0.154, 0.500, 0.283) (multiplicity 4)
O (0.232, 0.128, 0.266) (multiplicity 8)

Computed properties:
energy	-148.38	eV per cell
total magnetic moment	0.000	μB per formula unit
excess energy over the best structure of this formula in the dataset	0.042	eV/atom


Record 4
Below is DyBe4Ru after structural relaxation, with properties calculated at the GGA-PBE level.

Cell lengths 6.614, 6.614, 6.614 Å; angles 90.00, 90.00, 90.00 degrees
Space group F-43m (No. 216)
Inequivalent atoms, fractional coordinates:
Dy (0.000, 0.000, 0.000) (multiplicity 4)
Be (0.122, 0.122, 0.622) (multiplicity 16)
Ru (0.250, 0.250, 0.250) (multiplicity 4)

Computed properties:
energy	-119.40	eV per cell
total magnetic moment	0.000	μB per formula unit
ΔH_f (0 K)	-0.1778	eV per atom


Record 5
Below is SrSc2Be after structural relaxation, with properties calculated at the GGA-PBE level.

Cell lengths 3.4812, 3.4812, 29.8475 Å; angles 90.00, 90.00, 120.00 degrees
Space group R3m (No. 160, hexagonal axes)
Inequivalent atoms, fractional coordinates:
Sr (0.0000, 0.0000, 0.0000) (multiplicity 3)
Sc (0.0000, 0.0000, 0.2264) (multiplicity 3)
Sc (0.0000, 0.0000, 0.4728) (multiplicity 3)
Be (0.0000, 0.0000, 0.7452) (multiplicity 3)

Computed properties:
energy	-48.57	eV per cell
total magnetic moment	0.602	μB per formula unit
ΔH_f (0 K)	0.4705	eV per atom


Record 6
Below is Tl2SnPdSe4 after structural relaxation, with properties calculated at the GGA-PBE level.

Cell lengths 7.298, 15.507, 19.310 Å; angles 90.00, 90.00, 90.00 degrees
Space group Fddd (No. 70, origin choice 2)
Inequivalent atoms, fractional coordinates:
Tl (0.125, 0.125, 0.285) (multiplicity 16)
Sn (0.125, 0.125, 0.625) (multiplicity 8)
Pd (0.125, 0.125, 0.125) (multiplicity 8)
Se (0.115, 0.268, 0.407) (multiplicity 32)

Computed properties:
energy	-240.77	eV per cell
total magnetic moment	0.000	μB per formula unit


Record 7
Below is Na2MnReN4 after structural relaxation, with properties calculated at the GGA-PBE level.

Cell lengths 6.428, 6.048, 5.827 Å; angles 90.00, 90.00, 90.00 degrees
Space group Pmn2_1 (No. 31)
Inequivalent atoms, fractional coordinates:
Na (0.249, 0.228, 0.000) (multiplicity 4)
Mn (0.000, 0.685, 0.999) (multiplicity 2)
Re (0.000, 0.327, 0.499) (multiplicity 2)
N (0.000, 0.509, 0.752) (multiplicity 2)
N (0.000, 0.512, 0.249) (multiplicity 2)
N (0.249, 0.165, 0.497) (multiplicity 4)

Computed properties:
energy	-118.69	eV per cell
total magnetic moment	0.000	μB per formula unit


Record 8
Below is SnPd6Pt12 after structural relaxation, with properties calculated at the GGA-PBE level.

Cell lengths 7.208, 7.266, 7.613 Å; angles 99.36, 104.61, 119.22 degrees
Space group P-1 (No. 2)
Inequivalent atoms, fractional coordinates:
Sn (0.000, 0.000, 0.000) (multiplicity 1)
Pd (0.310, 0.340, 0.326) (multiplicity 2)
Pd (0.428, 0.151, 0.002) (multiplicity 2)
Pd (0.448, 0.046, 0.325) (multiplicity 2)
Pt (0.019, 0.908, 0.331) (multiplicity 2)
Pt (0.126, 0.807, 0.675) (multiplicity 2)
Pt (0.158, 0.621, 0.324) (multiplicity 2)
Pt (0.189, 0.456, 0.000) (multiplicity 2)
Pt (0.258, 0.516, 0.666) (multiplicity 2)
Pt (0.411, 0.238, 0.669) (multiplicity 2)

Computed properties:
energy	-107.68	eV per cell
total magnetic moment	0.000	μB per formula unit
ΔH_f (0 K)	-0.0015	eV per atom